(1)
Ca3Ag4Sn4 | PBE | optimized geometry

Computed properties:
* calculated formation energy: -31.2 kJ/mol of atoms

CIF file:
```
data_Ca3Ag4Sn4
_space_group_name_H-M_alt 'P 1'
_space_group_IT_number 1
_cell_length_a 9.1024
_cell_length_b 9.1024
_cell_length_c 9.1024
_cell_angle_alpha 151.15
_cell_angle_beta 129.68
_cell_angle_gamma 59.04
loop_
_space_group_symop_operation_xyz
'x,y,z'
loop_
_atom_site_label
_atom_site_type_symbol
_atom_site_fract_x
_atom_site_fract_y
_atom_site_fract_z
Ca1 Ca 0.0000 0.0000 0.0000
Ca2 Ca 0.3738 0.8738 0.5000
Ca3 Ca 0.6262 0.1262 0.5000
Ag1 Ag 0.2193 0.2193 0.0000
Ag2 Ag 0.3200 0.5000 0.8200
Ag3 Ag 0.6800 0.5000 0.1800
Ag4 Ag 0.7807 0.7807 0.0000
Sn1 Sn 0.0340 0.3366 0.6974
Sn2 Sn 0.3608 0.6634 0.6974
Sn3 Sn 0.6392 0.3366 0.3026
Sn4 Sn 0.9660 0.6634 0.3026
```

---

(2)
YAgAs3 | PBE | optimized geometry

Computed properties:
* calculated formation energy: 19.9 kJ/mol of atoms

CIF file:
```
data_YAgAs3
_space_group_name_H-M_alt 'P 1'
_space_group_IT_number 1
_cell_length_a 4.9863
_cell_length_b 4.9863
_cell_length_c 4.9863
_cell_angle_alpha 90.00
_cell_angle_beta 90.00
_cell_angle_gamma 90.00
loop_
_space_group_symop_operation_xyz
'x,y,z'
loop_
_atom_site_label
_atom_site_type_symbol
_atom_site_fract_x
_atom_site_fract_y
_atom_site_fract_z
Y1 Y 0.0000 0.0000 0.0000
Ag1 Ag 0.5000 0.5000 0.5000
As1 As 0.0000 0.5000 0.5000
As2 As 0.5000 0.0000 0.5000
As3 As 0.5000 0.5000 0.0000
```

---

(3)
Li2ZnIn2Ag5 | PBE | optimized geometry

Computed properties:
* calculated formation energy: -7.0 kJ/mol of atoms

CIF file:
```
data_Li2ZnIn2Ag5
_space_group_name_H-M_alt 'P 1'
_space_group_IT_number 1
_cell_length_a 9.5418
_cell_length_b 9.5418
_cell_length_c 3.9687
_cell_angle_alpha 90.00
_cell_angle_beta 90.00
_cell_angle_gamma 90.00
loop_
_space_group_symop_operation_xyz
'x,y,z'
loop_
_atom_site_label
_atom_site_type_symbol
_atom_site_fract_x
_atom_site_fract_y
_atom_site_fract_z
Li1 Li 0.1244 0.3756 0.0000
Li2 Li 0.3756 0.8756 0.0000
Li3 Li 0.6244 0.1244 0.0000
Li4 Li 0.8756 0.6244 0.0000
Zn1 Zn 0.0000 0.0000 0.0000
Zn2 Zn 0.5000 0.5000 0.0000
In1 In 0.1694 0.6694 0.0000
In2 In 0.3306 0.1694 0.0000
In3 In 0.6694 0.8306 0.0000
In4 In 0.8306 0.3306 0.0000
Ag1 Ag 0.0000 0.5000 0.5000
Ag2 Ag 0.0878 0.1927 0.5000
Ag3 Ag 0.1927 0.9122 0.5000
Ag4 Ag 0.3073 0.4122 0.5000
Ag5 Ag 0.4122 0.6927 0.5000
Ag6 Ag 0.5000 0.0000 0.5000
Ag7 Ag 0.5878 0.3073 0.5000
Ag8 Ag 0.6927 0.5878 0.5000
Ag9 Ag 0.8073 0.0878 0.5000
Ag10 Ag 0.9122 0.8073 0.5000
```

---

Number 1: total DFT energy (no corrections) -3.36 eV per atom. Number 2: total DFT energy (no corrections) -4.45 eV per atom. Number 3: total DFT energy (no corrections) -2.56 eV per atom.